3
Lattice="4.158 0.000 0.000 -2.079 3.601 0.000 0.000 0.000 4.293" Properties=species:S:1:pos:R:3 comment="LaNiGe (PBE-GGA, relaxed)" magmom_total_mub_per_fu=0.000 n_ef_per_ev_cell=2.75 density_g_cm3=6.98 delta_e_f_ev_per_atom=-0.72 pbc="T T T"
La 0.000 0.000 0.000
Ni 0.000 2.401 2.147
Ge 2.079 1.200 2.147

4
Lattice="2.287 -2.816 0.000 2.287 2.816 0.000 0.000 0.000 10.141" Properties=species:S:1:pos:R:3 comment="CaLa2Ru (PBE-GGA, relaxed)" relative_energy_mev_per_atom=97 magmom_total_mub_per_fu=0.000 n_ef_per_ev_cell=4.55 density_g_cm3=5.33 delta_e_f_ev_per_atom=-0.11 pbc="T T T"
Ca 0.000 0.000 0.000
La 2.287 0.000 3.350
La 2.287 0.000 6.790
Ru 0.000 0.000 5.070